[1]
The following is a DFT calculation (SCAN) of CaHfIr3 at its PBEsol-relaxed geometry.

Calculated values
* E_form: 0.66 eV/atom
* E_tot: -56.464 eV per atom
* total magnetization: 0.00 μB/cell
* space group: No. 221

Lattice parameters (Å, degrees): 4.8139 4.8139 4.8139 90.00 90.00 90.00
Element x y z (fractional)
Ir (0.5000, 0.0000, 0.0000)
Ir (0.0000, 0.5000, 0.0000)
Hf (0.0000, 0.0000, 0.0000)
Ca (0.5000, 0.5000, 0.5000)
Ir (0.0000, 0.0000, 0.5000)

[2]
The following is a DFT calculation (SCAN) of CaHfIrN2 at its PBEsol-relaxed geometry.

Calculated values
* E_tot: -30.363 eV per atom
* total magnetization: 3.88 μB/cell
* E_form (uncorrected): 2.040 eV/atom
* space group: No. 123

Lattice parameters (Å, degrees): 3.9415 3.9415 6.3805 90.00 90.00 90.00
Each line ends with the local moment (μB).
Element x y z (fractional)
Ir (0.5000, 0.5000, 0.5000)  0.68
N (0.5000, 0.0000, 0.0000)  1.34
Ca (0.0000, 0.0000, 0.0000)  0.13
N (0.0000, 0.5000, 0.0000)  1.34
Hf (0.0000, 0.0000, 0.5000)  -0.35

[3]
The following is a DFT calculation (SCAN) of KCaHf2 at its PBEsol-relaxed geometry.

Calculated values
* E_form: 1.37 eV/atom
* E_tot: -34.461 eV per atom
* total magnetization: 0.00 μB/cell
* space group: No. 225

Lattice parameters (Å, degrees): 5.4173 5.4173 5.4173 60.00 60.00 60.00
Element x y z (fractional)
K (0.0000, 0.0000, 0.0000)
Hf (0.7500, 0.7500, 0.7500)
Hf (0.2500, 0.2500, 0.2500)
Ca (0.5000, 0.5000, 0.5000)

[4]
The following is a DFT calculation (SCAN) of K2CaHfMg at its PBEsol-relaxed geometry.

Calculated values
* E_form: 1.25 eV/atom
* E_tot: -17.542 eV per atom
* total magnetization: 4.51 μB/cell
* space group: No. 123

Lattice parameters (Å, degrees): 6.1403 6.4688 6.4688 90.00 90.00 90.00
Each line ends with the local moment (μB).
Element x y z (fractional)
Mg (0.5000, 0.5000, 0.5000)  0.00
K (0.0000, 0.5000, 0.0000)  0.05
Hf (0.0000, 0.0000, 0.0000)  1.76
Ca (0.5000, 0.0000, 0.0000)  0.22
K (0.0000, 0.0000, 0.5000)  0.05

E_tot of number 4 (K2CaHfMg)?
-17.542 eV per atom